Below is an optimized crystal structure of La2AgSb2, with properties calculated at the PBE-GGA level.

```
10
Lattice="-0.6653 -6.7818 4.8321 7.6861 1.3651 2.9741 -1.6623 2.4295 3.1809" Properties=species:S:1:pos:R:3 pbc="T T T"
Sb 6.2505 -1.1749 4.1638
Sb 0.7704 -4.2419 3.6425
Sb 2.5310 -0.5974 1.7790
Sb 4.4898 -4.8194 6.0273
La 0.1072 -0.9363 3.7237
La 1.2781 -4.0602 6.7216
La 5.2513 -2.0510 7.2634
La 4.0805 1.0729 4.2656
Ag 3.5104 -2.7084 3.9031
Ag 0.0000 0.0000 0.0000
```

Properties
Polymorph energy (0 for the lowest one) in meV per atom: 0
Magnetization in μB per formula unit: 0.00
Raw formation energy in eV/atom: -0.8064